[1]
First-principles (PBEsol) data for crystalline TcB3P at its relaxed geometry, as listed in the Alexandria database.

Structure (POSCAR):
```
TcB3P
1.0
4.061 0.000 0.000
0.000 4.061 0.000
0.000 0.000 4.061
Tc B P
1 3 1
Direct
0.000 0.000 0.000
0.000 0.000 0.500
0.000 0.500 0.000
0.500 0.000 0.000
0.500 0.500 0.500
```

Output
**Symmetry**: Pm-3m (221)
**Energy relative to the elements**: 1.617 eV/atom


[2]
First-principles (PBEsol) data for crystalline B3TeP at its relaxed geometry, as listed in the Alexandria database.

Structure (POSCAR):
```
B3TeP
1.0
3.998 0.000 0.000
0.000 3.998 0.000
0.000 0.000 3.998
B Te P
3 1 1
Direct
0.000 0.000 0.500
0.000 0.500 0.000
0.500 0.000 0.000
0.500 0.500 0.500
0.000 0.000 0.000
```

Output
**Symmetry**: Pm-3m (221)
**E_form (uncorrected)**: 124.3 kJ/mol of atoms


[3]
First-principles (PBEsol) data for crystalline Ti2BP at its relaxed geometry, as listed in the Alexandria database.

Structure (POSCAR):
```
Ti2BP
1.0
-3.122 3.122 2.653
3.122 -3.122 2.653
3.122 3.122 -2.653
Ti B P
4 2 2
Direct
0.103 0.125 0.478
0.375 0.897 0.022
0.647 0.625 0.522
0.875 0.353 0.978
0.000 0.000 0.000
0.750 0.250 0.500
0.250 0.750 0.500
0.500 0.500 0.000
```

Output
**Symmetry**: I-42d (122)
**Energy relative to the elements**: -0.458 eV/atom


[4]
First-principles (PBEsol) data for crystalline Y2BP at its relaxed geometry, as listed in the Alexandria database.

Structure (POSCAR):
```
Y2BP
1.0
0.000 3.320 3.320
3.320 0.000 3.320
3.320 3.320 0.000
Y B P
2 1 1
Direct
0.250 0.250 0.250
0.750 0.750 0.750
0.000 0.000 0.000
0.500 0.500 0.500
```

Output
**Symmetry**: Fm-3m (225)
**Energy relative to the elements**: -0.317 eV/atom


Total DFT energy (no corrections), respectively: -6.00, -4.79, -7.82, -6.93 eV per atom.